Below is a relaxed Pa2In8Pt crystal, with properties calculated at the PBE level.

Results
magnetization: 0.000 μB per atom
theoretical density: 9.82 g/cm³

Cell lengths 4.695, 4.695, 12.084 Å; angles 90.00, 90.00, 90.00 degrees
Space group P4/mmm (No. 123)
Inequivalent atoms, fractional coordinates:
Pa 0.000 0.000 0.189 (multiplicity 2)
In 0.000 0.500 0.000 (multiplicity 2)
In 0.000 0.500 0.373 (multiplicity 4)
In 0.500 0.500 0.188 (multiplicity 2)
Pt 0.000 0.000 0.500 (multiplicity 1)

Below is a relaxed PaInPt6 crystal, with properties calculated at the PBE level.

Results
magnetization: 0.000 μB per atom
distance to the lowest polymorph of the same formula: 72.4 meV per atom
theoretical density: 18.04 g/cm³

Cell lengths 5.7912, 5.7912, 4.8047 Å; angles 90.00, 90.00, 120.00 degrees
Space group P-6m2 (No. 187)
Inequivalent atoms, fractional coordinates:
Pa 0.0000 0.0000 0.0000 (multiplicity 1)
In 0.3333 0.6667 0.5000 (multiplicity 1)
Pt 0.3376 0.1688 0.5000 (multiplicity 3)
Pt 0.5016 0.0032 0.0000 (multiplicity 3)

Total energy list, top to bottom, in eV per atom: -4.51, -6.76